1.
10
Lattice="-3.6231 0.8584 -1.5493 2.2948 -2.1384 -6.5511 -3.2729 -6.6278 3.9815" Properties=species:S:1:pos:R:3 comment="GGA-PBE Y2AlSiGe, optimized geometry" n_ef_per_ev_atom=0.39 e_form_raw_mev_per_atom=-527 volume_a3_per_atom=23.31 sg="No. 11" pbc="T T T"
Y -2.7191 -5.1040 -4.3423
Y -1.1439 -1.1580 -5.8395
Y -1.8821 -2.8037 0.2234
Y -3.4572 -6.7498 1.7206
Al -2.0714 -5.6305 -0.9000
Al -2.5298 -2.2773 -3.2190
Si -0.2636 -3.2699 -3.8196
Si -4.3376 -4.6378 -0.2994
Ge -1.6746 -7.1639 -2.6774
Ge -2.9266 -0.7438 -1.4415

2.
15
Lattice="7.5095 0.0000 4.3356 2.5032 7.0800 4.3356 0.0000 0.0000 8.6712" Properties=species:S:1:pos:R:3 comment="GGA-PBE LaHo6Te8, optimized geometry" n_ef_per_ev_atom=0.48 e_form_raw_mev_per_atom=-1358 relative_energy_kj_per_mol_atoms=0.0 volume_a3_per_atom=30.73 sg="No. 225" pbc="T T T"
La 0.0000 0.0000 0.0000
Ho 1.2516 3.5400 6.5034
Ho 3.7547 0.0000 2.1678
Ho 5.0063 3.5400 4.3356
Ho 0.0000 0.0000 4.3356
Ho 1.2516 3.5400 2.1678
Ho 3.7547 0.0000 6.5034
Te 7.5095 5.3100 13.0068
Te 2.5032 1.7700 4.3356
Te 6.1858 1.8720 6.6283
Te 3.8268 5.2080 10.7141
Te 2.6474 1.8720 8.6712
Te 7.3652 5.2080 8.6712
Te 6.1858 1.8720 10.7141
Te 3.8268 5.2080 6.6283

3.
4
Lattice="-3.2963 1.3611 -3.9983 -4.3675 -2.9410 -0.9902 -4.8611 1.9720 1.0892" Properties=species:S:1:pos:R:3 comment="GGA-PBE ThPaSbTe, optimized geometry" n_ef_per_ev_atom=0.98 e_form_raw_mev_per_atom=-753 volume_a3_per_atom=27.19 sg="No. 216" pbc="T T T"
Sb -3.1312 0.0980 -0.9748
Pa 0.0000 0.0000 0.0000
Te -9.3937 0.2940 -2.9245
Th -6.2624 0.1960 -1.9496

4.
18
Lattice="7.4990 0.0000 0.0000 -3.7495 6.4943 0.0000 0.0000 0.0000 14.5444" Properties=species:S:1:pos:R:3 comment="GGA-PBE NaNpCuI6, optimized geometry" n_ef_per_ev_atom=0.86 e_form_raw_mev_per_atom=-677 volume_a3_per_atom=39.35 sg="No. 163" pbc="T T T"
Na 0.0000 0.0000 0.0000
Na 0.0000 0.0000 7.2722
Np 0.0000 4.3295 3.6361
Np 3.7495 2.1648 10.9083
Cu 3.7495 2.1648 3.6361
Cu 0.0000 4.3295 10.9083
I 2.4926 4.1495 1.9338
I 6.0968 2.2609 1.9338
I -1.0904 6.4105 9.2060
I -2.3473 4.2334 12.6106
I 1.4021 2.2609 5.3384
I 5.0064 4.1495 5.3384
I 1.0904 6.4105 12.6106
I 4.8399 0.0838 5.3384
I -1.2569 2.3447 9.2060
I 2.6591 0.0838 1.9338
I 2.3473 4.2334 9.2060
I 1.2569 2.3447 12.6106